1.
{"formula": "Nd2Ge4PdAu3", "functional": "GGA-PBE", "state": "relaxed", "lattice": [[4.376, 0.000, 0.000], [0.000, 4.376, 0.000], [0.000, 0.000, 10.811]], "species": ["Ge", "Ge", "Ge", "Ge", "Au", "Au", "Au", "Pd", "Nd", "Nd"], "fractional_positions": [[0.000, 0.500, 0.371], [0.000, 0.000, 0.000], [0.500, 0.000, 0.629], [0.500, 0.500, 0.000], [0.000, 0.000, 0.500], [0.500, 0.000, 0.862], [0.000, 0.500, 0.138], [0.500, 0.500, 0.500], [0.000, 0.500, 0.738], [0.500, 0.000, 0.262]], "total_magnetization_mub_per_cell": 0.0, "dos_ef_per_ev_cell": 4.36, "ef_mev_per_atom": -609, "space_group": "P-4m2 (115)", "vol_a3_per_atom": 20.71}

=====

2.
{"formula": "YCrBr2", "functional": "GGA-PBE", "state": "relaxed", "lattice": [[-0.524, 7.232, -2.174], [-0.214, 5.415, -5.286], [-4.950, -0.321, -0.305]], "species": ["Y", "Cr", "Br", "Br"], "fractional_positions": [[0.750, 0.750, 0.750], [0.250, 0.250, 0.250], [0.390, 0.390, 0.521], [0.110, 0.110, 0.979]], "total_magnetization_mub_per_cell": 3.2, "dos_ef_per_ev_cell": 1.78, "space_group": "C2/m (12)", "relative_energy_ev_per_atom": 0.057, "raw_formation_energy_ev_per_atom": -0.523, "vol_a3_per_atom": 33.02}

=====

3.
{"formula": "Tb3PrSmDy", "functional": "GGA-PBE", "state": "relaxed", "lattice": [[5.682, 0.000, 0.000], [-2.841, 9.856, 1.648], [0.000, -1.191, 6.920]], "species": ["Dy", "Dy", "Sm", "Sm", "Tb", "Tb", "Tb", "Tb", "Tb", "Tb", "Pr", "Pr"], "fractional_positions": [[0.649, 0.298, 0.460], [0.351, 0.702, 0.540], [0.945, 0.891, 0.737], [0.055, 0.109, 0.263], [0.220, 0.441, 0.246], [0.164, 0.329, 0.733], [0.836, 0.671, 0.267], [0.522, 0.044, 0.741], [0.780, 0.559, 0.754], [0.478, 0.956, 0.259], [0.646, 0.291, 0.027], [0.354, 0.709, 0.973]], "total_magnetization_mub_per_cell": 0.0, "dos_ef_per_ev_cell": 18.07, "ef_mev_per_atom": 189, "space_group": "C2/m (12)", "vol_a3_per_atom": 33.22}

=====

4.
{"formula": "Zn3TcPd12", "functional": "GGA-PBE", "state": "relaxed", "lattice": [[3.903, 0.000, 0.000], [0.000, 3.903, 0.000], [0.000, 0.000, 15.778]], "species": ["Zn", "Zn", "Zn", "Pd", "Pd", "Pd", "Pd", "Pd", "Pd", "Pd", "Pd", "Pd", "Pd", "Pd", "Pd", "Tc"], "fractional_positions": [[0.000, 0.000, 0.253], [0.000, 0.000, 0.747], [0.000, 0.000, 0.500], [0.000, 0.500, 0.123], [0.500, 0.000, 0.877], [0.500, 0.500, 0.249], [0.500, 0.000, 0.375], [0.000, 0.500, 0.625], [0.500, 0.500, 0.000], [0.500, 0.000, 0.123], [0.500, 0.000, 0.625], [0.000, 0.500, 0.375], [0.000, 0.500, 0.877], [0.500, 0.500, 0.751], [0.500, 0.500, 0.500], [0.000, 0.000, 0.000]], "total_magnetization_mub_per_cell": 1.3, "dos_ef_per_ev_cell": 18.99, "ef_mev_per_atom": -209, "space_group": "P4/mmm (123)", "vol_a3_per_atom": 15.02}

=====

5.
{"formula": "NaAg3Hg", "functional": "GGA-PBE", "state": "relaxed", "lattice": [[5.828, 0.000, 0.000], [0.000, 6.945, 0.000], [0.001, -3.473, 6.016]], "species": ["Hg", "Hg", "Ag", "Ag", "Ag", "Ag", "Ag", "Ag", "Na", "Na"], "fractional_positions": [[0.500, 0.000, 0.000], [0.000, 0.000, 0.000], [0.750, 0.597, 0.798], [0.250, 0.403, 0.202], [0.250, 0.798, 0.597], [0.750, 0.202, 0.403], [0.250, 0.798, 0.202], [0.750, 0.202, 0.798], [0.750, 0.667, 0.333], [0.250, 0.333, 0.667]], "total_magnetization_mub_per_cell": 0.0, "dos_ef_per_ev_cell": 2.67, "ef_mev_per_atom": 113, "space_group": "P6_3/mmc (194)", "relative_energy_ev_per_atom": 0.000, "vol_a3_per_atom": 24.35}

=====

6.
{"formula": "BaTlCr2", "functional": "GGA-PBE", "state": "relaxed", "lattice": [[-3.301, -3.230, -1.072], [2.306, -1.724, -1.906], [2.740, -4.396, 4.807]], "species": ["Tl", "Cr", "Cr", "Ba"], "fractional_positions": [[0.500, 0.250, 0.250], [0.000, 0.454, 0.432], [0.000, 0.046, 0.068], [0.500, 0.750, 0.750]], "total_magnetization_mub_per_cell": 8.8, "dos_ef_per_ev_cell": 3.09, "ef_mev_per_atom": 791, "space_group": "P2/m (10)", "relative_energy_ev_per_atom": 0.402, "vol_a3_per_atom": 28.37}

=====

7.
{"formula": "LiP2Rh", "functional": "GGA-PBE", "state": "relaxed", "lattice": [[-3.005, -0.704, 2.446], [1.561, -1.875, 1.377], [1.629, 3.583, 3.033]], "species": ["Li", "P", "P", "Rh"], "fractional_positions": [[0.500, 0.750, 0.750], [0.000, 0.250, 0.979], [0.000, 0.250, 0.521], [0.500, 0.250, 0.250]], "total_magnetization_mub_per_cell": 0.0, "dos_ef_per_ev_cell": 1.75, "ef_mev_per_atom": -433, "space_group": "Pmmm (47)", "relative_energy_ev_per_atom": 0.000, "vol_a3_per_atom": 13.71}

=====

8.
{"formula": "SnBiWCl2", "functional": "GGA-PBE", "state": "relaxed", "lattice": [[5.109, 0.000, 0.000], [0.000, 5.798, 0.000], [0.000, 0.000, 5.109]], "species": ["Cl", "Cl", "W", "Sn", "Bi"], "fractional_positions": [[0.500, 0.000, 0.000], [0.000, 0.000, 0.500], [0.000, 0.500, 0.000], [0.000, 0.000, 0.000], [0.500, 0.500, 0.500]], "total_magnetization_mub_per_cell": 2.7, "dos_ef_per_ev_cell": 4.81, "space_group": "P4/mmm (123)", "raw_formation_energy_ev_per_atom": 0.867, "vol_a3_per_atom": 30.27}

=====

9.
{"formula": "Nd8Er2Tm3", "functional": "GGA-PBE", "state": "relaxed", "lattice": [[5.660, 0.000, 0.770], [0.000, 7.732, 0.000], [-1.372, -3.866, 10.052]], "species": ["Nd", "Nd", "Nd", "Nd", "Nd", "Nd", "Nd", "Nd", "Tm", "Tm", "Tm", "Er", "Er"], "fractional_positions": [[0.000, 0.870, 0.740], [0.001, 0.673, 0.347], [0.500, 0.598, 0.789], [0.000, 0.130, 0.260], [0.999, 0.327, 0.653], [0.500, 0.810, 0.211], [0.500, 0.402, 0.211], [0.500, 0.190, 0.789], [0.000, 0.286, 0.000], [0.000, 0.714, 0.000], [0.500, 0.000, 0.000], [0.499, 0.239, 0.478], [0.501, 0.761, 0.522]], "total_magnetization_mub_per_cell": 0.0, "dos_ef_per_ev_cell": 17.88, "ef_mev_per_atom": 200, "space_group": "C2/m (12)", "vol_a3_per_atom": 34.46}

=====

10.
{"formula": "YSiIr3", "functional": "GGA-PBE", "state": "relaxed", "lattice": [[4.947, 0.000, 0.000], [0.000, 4.947, 0.000], [0.000, 0.000, 4.947]], "species": ["Si", "Y", "Ir", "Ir", "Ir"], "fractional_positions": [[0.500, 0.500, 0.500], [0.000, 0.000, 0.000], [0.000, 0.500, 0.000], [0.000, 0.000, 0.500], [0.500, 0.000, 0.000]], "total_magnetization_mub_per_cell": 0.0, "dos_ef_per_ev_cell": 7.86, "space_group": "Pm-3m (221)", "relative_energy_ev_per_atom": 2.459, "raw_formation_energy_ev_per_atom": 2.173, "vol_a3_per_atom": 24.22}

=====

11.
{"formula": "Cu2Pd5Pt4", "functional": "GGA-PBE", "state": "relaxed", "lattice": [[4.399, 0.000, 0.000], [0.000, 7.585, 0.000], [-2.199, -3.793, 5.138]], "species": ["Cu", "Cu", "Pd", "Pd", "Pd", "Pd", "Pd", "Pt", "Pt", "Pt", "Pt"], "fractional_positions": [[0.126, 0.126, 0.253], [0.874, 0.874, 0.747], [0.732, 0.400, 0.464], [0.268, 0.936, 0.536], [0.268, 0.600, 0.536], [0.500, 0.000, 0.000], [0.732, 0.064, 0.464], [0.374, 0.374, 0.748], [0.626, 0.626, 0.252], [0.000, 0.686, 0.000], [0.000, 0.314, 0.000]], "total_magnetization_mub_per_cell": 0.0, "dos_ef_per_ev_cell": 20.72, "ef_mev_per_atom": 159, "space_group": "Immm (71)", "relative_energy_ev_per_atom": 0.068, "vol_a3_per_atom": 15.58}

=====

12.
{"formula": "Tl3BiSb", "functional": "GGA-PBE", "state": "relaxed", "lattice": [[-4.926, 2.132, 2.182], [-2.996, -4.161, -2.698], [0.574, -3.422, 4.640]], "species": ["Tl", "Tl", "Tl", "Sb", "Bi"], "fractional_positions": [[0.000, 0.500, 0.000], [0.500, 0.000, 0.000], [0.000, 0.000, 0.500], [0.000, 0.000, 0.000], [0.500, 0.500, 0.500]], "total_magnetization_mub_per_cell": 0.0, "dos_ef_per_ev_cell": 2.67, "space_group": "Pm-3m (221)", "relative_energy_ev_per_atom": 0.417, "raw_formation_energy_ev_per_atom": 0.408, "vol_a3_per_atom": 38.90}

=====

13.
{"formula": "Sc6Ga2Ru", "functional": "GGA-PBE", "state": "relaxed", "lattice": [[-3.203, -2.985, 1.498], [0.170, -3.084, -5.783], [6.416, -1.056, 4.469]], "species": ["Sc", "Sc", "Sc", "Sc", "Sc", "Sc", "Ga", "Ga", "Ru"], "fractional_positions": [[0.159, 0.404, 0.318], [0.500, 0.238, 0.000], [0.500, 0.762, 0.000], [0.159, 0.914, 0.318], [0.841, 0.596, 0.682], [0.841, 0.086, 0.682], [0.668, 0.668, 0.336], [0.332, 0.332, 0.664], [0.000, 0.000, 0.000]], "total_magnetization_mub_per_cell": 0.0, "dos_ef_per_ev_cell": 8.03, "ef_mev_per_atom": -289, "space_group": "Immm (71)", "vol_a3_per_atom": 22.90}

=====

14.
{"formula": "BePdAu", "functional": "GGA-PBE", "state": "relaxed", "lattice": [[3.144, 0.000, 0.000], [0.000, 3.986, 0.000], [0.000, -1.993, 3.452]], "species": ["Pd", "Au", "Be"], "fractional_positions": [[0.085, 0.000, 0.000], [0.587, 0.333, 0.667], [0.328, 0.667, 0.333]], "total_magnetization_mub_per_cell": 0.0, "dos_ef_per_ev_cell": 1.13, "ef_mev_per_atom": -185, "space_group": "P3m1 (156)", "relative_energy_ev_per_atom": 0.163, "vol_a3_per_atom": 14.42}

=====

15.
{"formula": "LiAgCl2", "functional": "GGA-PBE", "state": "relaxed", "lattice": [[-3.496, 0.549, -0.846], [-1.008, -1.792, 3.001], [0.064, 5.513, 3.313]], "species": ["Cl", "Cl", "Li", "Ag"], "fractional_positions": [[0.500, 0.500, 0.343], [0.000, 0.000, 0.797], [0.000, 0.000, 0.422], [0.500, 0.500, 0.938]], "total_magnetization_mub_per_cell": 0.0, "dos_ef_per_ev_cell": 0.00, "space_group": "P4mm (99)", "raw_formation_energy_ev_per_atom": -1.091, "vol_a3_per_atom": 21.28}

=====

16.
{"formula": "Sn3Hg12Ge5", "functional": "GGA-PBE", "state": "relaxed", "lattice": [[-11.620, -5.025, -6.773], [11.645, -2.406, -8.048], [1.444, -6.682, 12.626]], "species": ["Sn", "Sn", "Sn", "Sn", "Sn", "Sn", "Sn", "Sn", "Sn", "Sn", "Sn", "Sn", "Ge", "Ge", "Ge", "Ge", "Ge", "Ge", "Ge", "Ge", "Ge", "Ge", "Ge", "Ge", "Ge", "Ge", "Ge", "Ge", "Ge", "Ge", "Ge", "Ge", "Hg", "Hg", "Hg", "Hg", "Hg", "Hg", "Hg", "Hg", "Hg", "Hg", "Hg", "Hg", "Hg", "Hg", "Hg", "Hg", "Hg", "Hg", "Hg", "Hg", "Hg", "Hg", "Hg", "Hg", "Hg", "Hg", "Hg", "Hg", "Hg", "Hg", "Hg", "Hg", "Hg", "Hg", "Hg", "Hg", "Hg", "Hg", "Hg", "Hg", "Hg", "Hg", "Hg", "Hg", "Hg", "Hg", "Hg", "Hg"], "fractional_positions": [[0.125, 0.875, 0.750], [0.250, 0.625, 0.875], [0.875, 0.750, 0.125], [0.750, 0.875, 0.625], [0.125, 0.250, 0.875], [0.625, 0.250, 0.375], [0.750, 0.375, 0.125], [0.625, 0.375, 0.750], [0.875, 0.125, 0.250], [0.250, 0.125, 0.375], [0.375, 0.750, 0.625], [0.375, 0.625, 0.250], [0.875, 0.250, 0.625], [0.500, 0.500, 0.500], [0.125, 0.375, 0.250], [0.750, 0.125, 0.875], [0.625, 0.875, 0.250], [0.625, 0.750, 0.875], [0.875, 0.625, 0.750], [0.375, 0.125, 0.750], [0.000, 0.500, 0.500], [0.250, 0.875, 0.125], [0.000, 0.000, 0.000], [0.250, 0.375, 0.625], [0.125, 0.750, 0.375], [0.375, 0.250, 0.125], [0.500, 0.000, 0.500], [0.500, 0.500, 0.000], [0.000, 0.000, 0.500], [0.000, 0.500, 0.000], [0.750, 0.625, 0.375], [0.500, 0.000, 0.000], [0.048, 0.425, 0.825], [0.101, 0.175, 0.223], [0.452, 0.675, 0.075], [0.277, 0.399, 0.825], [0.723, 0.122, 0.048], [0.899, 0.075, 0.622], [0.575, 0.622, 0.399], [0.122, 0.399, 0.075], [0.122, 0.723, 0.548], [0.952, 0.378, 0.277], [0.601, 0.723, 0.675], [0.378, 0.425, 0.101], [0.825, 0.899, 0.277], [0.777, 0.452, 0.378], [0.378, 0.952, 0.777], [0.622, 0.575, 0.899], [0.675, 0.223, 0.601], [0.952, 0.575, 0.175], [0.675, 0.452, 0.575], [0.277, 0.878, 0.952], [0.175, 0.101, 0.723], [0.575, 0.952, 0.675], [0.325, 0.548, 0.425], [0.622, 0.048, 0.223], [0.925, 0.101, 0.878], [0.223, 0.548, 0.622], [0.878, 0.277, 0.452], [0.399, 0.122, 0.575], [0.399, 0.277, 0.325], [0.878, 0.601, 0.925], [0.825, 0.925, 0.048], [0.325, 0.777, 0.399], [0.101, 0.925, 0.378], [0.601, 0.878, 0.425], [0.048, 0.622, 0.723], [0.425, 0.048, 0.325], [0.075, 0.899, 0.122], [0.223, 0.675, 0.101], [0.548, 0.223, 0.122], [0.548, 0.325, 0.925], [0.175, 0.075, 0.952], [0.723, 0.601, 0.175], [0.925, 0.825, 0.548], [0.777, 0.325, 0.899], [0.899, 0.825, 0.777], [0.075, 0.175, 0.452], [0.452, 0.777, 0.878], [0.425, 0.378, 0.601]], "total_magnetization_mub_per_cell": 0.0, "dos_ef_per_ev_cell": 45.62, "ef_mev_per_atom": 233, "space_group": "Ia-3d (230)", "vol_a3_per_atom": 28.48}

=====

17.
{"formula": "LaTlMoBr2", "functional": "GGA-PBE", "state": "relaxed", "lattice": [[5.328, 0.000, 0.000], [0.000, 5.213, 0.000], [0.000, 0.000, 5.328]], "species": ["La", "Tl", "Br", "Br", "Mo"], "fractional_positions": [[0.000, 0.500, 0.000], [0.500, 0.500, 0.500], [0.000, 0.000, 0.500], [0.500, 0.000, 0.000], [0.000, 0.000, 0.000]], "total_magnetization_mub_per_cell": 0.9, "dos_ef_per_ev_cell": 4.68, "space_group": "P4/mmm (123)", "raw_formation_energy_ev_per_atom": 0.038, "vol_a3_per_atom": 29.60}

=====

18.
{"formula": "BaMn2Se", "functional": "GGA-PBE", "state": "relaxed", "lattice": [[3.579, 0.000, 0.000], [0.000, 3.579, 0.000], [0.000, 0.000, 7.577]], "species": ["Mn", "Mn", "Se", "Ba"], "fractional_positions": [[0.000, 0.000, 0.081], [0.000, 0.000, 0.419], [0.500, 0.500, 0.250], [0.500, 0.500, 0.750]], "total_magnetization_mub_per_cell": 8.2, "dos_ef_per_ev_cell": 4.27, "space_group": "P4/mmm (123)", "raw_formation_energy_ev_per_atom": 0.307, "vol_a3_per_atom": 24.26}

=====

19.
{"formula": "TmScGa", "functional": "GGA-PBE", "state": "relaxed", "lattice": [[3.528, 0.000, 0.000], [0.000, 4.796, 0.000], [0.000, -2.398, 4.153]], "species": ["Tm", "Ga", "Sc"], "fractional_positions": [[0.337, 0.333, 0.667], [0.823, 0.667, 0.333], [0.840, 0.000, 0.000]], "total_magnetization_mub_per_cell": 0.0, "dos_ef_per_ev_cell": 3.31, "ef_mev_per_atom": -314, "space_group": "P3m1 (156)", "relative_energy_ev_per_atom": 0.133, "vol_a3_per_atom": 23.42}

=====

20.
{"formula": "MnIn2Au", "functional": "GGA-PBE", "state": "relaxed", "lattice": [[6.316, 0.008, -0.002], [3.859, 5.000, 0.002], [-4.624, -3.446, 2.577]], "species": ["In", "In", "Mn", "Au"], "fractional_positions": [[0.710, 0.210, 0.500], [0.995, 0.995, 0.000], [0.497, 0.497, 0.000], [0.298, 0.798, 0.500]], "total_magnetization_mub_per_cell": 3.3, "dos_ef_per_ev_cell": 1.56, "ef_mev_per_atom": 33, "space_group": "Imm2 (44)", "relative_energy_ev_per_atom": 0.000, "vol_a3_per_atom": 20.33}